1.
! GGA-PBE RbHW, optimized geometry; values from VASP
&SYSTEM
  ibrav = 0, nat = 6, ntyp = 3
/
ATOMIC_SPECIES
Rb 85.47 Rb.upf
H 1.01 H.upf
W 183.84 W.upf
CELL_PARAMETERS angstrom
4.224 0.000 0.000
-1.785 3.831 0.000
-0.392 -2.302 10.634
ATOMIC_POSITIONS angstrom
Rb 1.852 -0.462 4.556
Rb 1.850 -0.466 10.556
H 0.958 1.449 8.957
W -0.134 0.798 7.556
W 2.051 2.099 7.556
H -0.261 -0.467 6.155
! D(E_F): 0.4 states/eV/f.u.
! E above lowest polymorph: 0.208 eV per atom
! DFT total energy: -31.2 eV for the cell shown



2.
! GGA-PBE Th5ReBi2, optimized geometry; values from VASP
&SYSTEM
  ibrav = 0, nat = 16, ntyp = 3
/
ATOMIC_SPECIES
Bi 208.98 Bi.upf
Th 232.04 Th.upf
Re 186.21 Re.upf
CELL_PARAMETERS angstrom
4.648 0.000 0.000
0.000 8.334 0.000
0.000 0.000 12.740
ATOMIC_POSITIONS angstrom
Bi 2.324 7.627 2.252
Th 2.324 5.790 11.971
Bi 2.324 0.707 10.488
Th 0.000 7.229 8.935
Th 0.000 1.105 3.805
Bi 2.324 4.874 8.622
Th 0.000 5.272 2.565
Th 2.324 2.544 0.769
Th 2.324 6.711 5.601
Th 0.000 3.062 10.175
Th 0.000 4.167 6.370
Re 0.000 4.167 0.000
Re 0.000 0.000 6.370
Bi 2.324 3.460 4.118
Th 2.324 1.623 7.139
Th 0.000 0.000 0.000
! D(E_F): 8.2 states/eV/f.u.
! energy relative to the elements: -0.324 eV per atom
! DFT total energy: -119.8 eV for the cell shown



3.
! GGA-PBE Tb3Te, optimized geometry; values from VASP
&SYSTEM
  ibrav = 0, nat = 8, ntyp = 2
/
ATOMIC_SPECIES
Te 127.60 Te.upf
Tb 158.93 Tb.upf
CELL_PARAMETERS angstrom
3.870 0.000 0.000
0.000 7.525 0.300
0.000 -1.097 8.430
ATOMIC_POSITIONS angstrom
Te 2.902 4.416 2.600
Tb 2.902 1.414 3.763
Tb 0.967 2.582 0.983
Tb 2.902 -0.345 7.076
Te 0.967 2.011 6.130
Tb 2.902 3.846 7.747
Tb 0.967 5.014 4.967
Tb 0.967 6.773 1.654
! D(E_F): 4.7 states/eV/f.u.
! E above lowest polymorph: 0.062 eV per atom
! ΔE_f (raw): -0.5881 eV per atom
! DFT total energy: -38.8 eV for the cell shown



Number 1: ρ 5.217 g cm⁻³. Number 2: ρ 11.874 g cm⁻³. Number 3: ρ 8.135 g cm⁻³.